Record 1
Entry from the Alexandria database: crystalline LiTaIr at its relaxed geometry (PBE).

Calculated values
Relative energy among the computed polymorphs in eV/atom: 0.014
Energy relative to the elements in eV per atom: -0.220
Space-group type: Imm2 (44)

a b c (Å): 4.687 4.687 4.687
angles (deg): 144.63 130.57 62.24
Element x y z (fractional)
Li (0.000, 0.000, 0.000)
Ta (0.677, 0.677, 0.000)
Ir (0.343, 0.343, 0.000)

***

Record 2
Entry from the Alexandria database: crystalline Sc2AlF at its relaxed geometry (PBE).

Calculated values
Formation energy from raw total energies in meV per atom: -781
Relative energy among the computed polymorphs in eV/atom: 0.471
Space-group type: Fm-3m (225)

a b c (Å): 4.764 4.764 4.764
angles (deg): 60.00 60.00 60.00
Element x y z (fractional)
Sc (0.250, 0.250, 0.250)
Sc (0.750, 0.750, 0.750)
Al (0.000, 0.000, 0.000)
F (0.500, 0.500, 0.500)

***

Record 3
Entry from the Alexandria database: crystalline Tm3ThC2 at its relaxed geometry (PBE).

Calculated values
Energy relative to the elements in eV per atom: -0.293
Space-group type: R-3m (166)

a b c (Å): 7.349 7.349 7.349
angles (deg): 58.22 58.22 58.22
Element x y z (fractional)
Tm (0.241, 0.739, 0.739)
Tm (0.261, 0.261, 0.759)
Tm (0.261, 0.759, 0.261)
Tm (0.739, 0.241, 0.739)
Tm (0.739, 0.739, 0.241)
Tm (0.759, 0.261, 0.261)
Th (0.245, 0.245, 0.245)
Th (0.755, 0.755, 0.755)
C (0.000, 0.000, 0.500)
C (0.000, 0.500, 0.000)
C (0.500, 0.000, 0.000)
C (0.500, 0.500, 0.500)

***

Record 4
Entry from the Alexandria database: crystalline RbTl2Sn7 at its relaxed geometry (PBE).

Calculated values
Energy relative to the elements in eV per atom: 0.068
Space-group type: Cmmm (65)

a b c (Å): 11.991 11.991 4.629
angles (deg): 90.00 90.00 147.23
Element x y z (fractional)
Rb (0.000, 0.000, 0.000)
Tl (0.259, 0.741, 0.500)
Tl (0.741, 0.259, 0.500)
Sn (0.098, 0.351, 0.500)
Sn (0.351, 0.098, 0.500)
Sn (0.402, 0.598, 0.000)
Sn (0.500, 0.500, 0.500)
Sn (0.598, 0.402, 0.000)
Sn (0.649, 0.902, 0.500)
Sn (0.902, 0.649, 0.500)

***

Record 5
Entry from the Alexandria database: crystalline CdHg2H at its relaxed geometry (PBE).

Calculated values
Relative energy among the computed polymorphs in eV/atom: 0.000
Space-group type: P-1 (2)

a b c (Å): 3.306 5.051 10.369
angles (deg): 93.30 90.11 90.00
Element x y z (fractional)
Cd (0.248, 0.204, 0.284)
Cd (0.752, 0.796, 0.716)
Hg (0.250, 0.737, 0.434)
Hg (0.253, 0.739, 0.079)
Hg (0.747, 0.261, 0.921)
Hg (0.750, 0.263, 0.566)
H (0.252, 0.721, 0.798)
H (0.748, 0.279, 0.202)

***

Record 6
Entry from the Alexandria database: crystalline Zr2PBr2 at its relaxed geometry (PBE).

Calculated values
Formation energy from raw total energies in meV per atom: -1381
Space-group type: R-3m (166)

a b c (Å): 10.600 10.600 10.600
angles (deg): 20.61 20.61 20.61
Element x y z (fractional)
Zr (0.124, 0.124, 0.124)
Zr (0.876, 0.876, 0.876)
P (0.500, 0.500, 0.500)
Br (0.269, 0.269, 0.269)
Br (0.731, 0.731, 0.731)

***

Record 7
Entry from the Alexandria database: crystalline CsSrP at its relaxed geometry (PBE).

Calculated values
Energy relative to the elements in eV per atom: -0.527
Space-group type: Cm (8)

a b c (Å): 5.027 5.027 6.986
angles (deg): 110.86 110.86 60.08
Element x y z (fractional)
Cs (0.000, 0.000, 0.000)
Sr (0.484, 0.484, 0.456)
P (0.782, 0.782, 0.349)

***

Record 8
Entry from the Alexandria database: crystalline VRhW3 at its relaxed geometry (PBE).

Calculated values
Relative energy among the computed polymorphs in eV/atom: 0.000
Energy relative to the elements in eV per atom: 1.600
Space-group type: Pm-3m (221)

a b c (Å): 4.462 4.462 4.462
angles (deg): 90.00 90.00 90.00
Element x y z (fractional)
V (0.000, 0.000, 0.000)
Rh (0.500, 0.500, 0.500)
W (0.000, 0.000, 0.500)
W (0.000, 0.500, 0.000)
W (0.500, 0.000, 0.000)

***

Number 1: theoretical density 14.10 g/cm3. Number 2: theoretical density 2.95 g/cm3. Number 3: theoretical density 9.41 g/cm3. Number 4: theoretical density 6.11 g/cm3. Number 5: theoretical density 9.89 g/cm3. Number 6: theoretical density 4.80 g/cm3. Number 7: theoretical density 2.99 g/cm3. Number 8: theoretical density 13.18 g/cm3.